A plane-wave DFT calculation with PBE was carried out for an optimized crystal structure of Re2AsOs.

POSCAR file:
```
Re2AsOs
1.0
2.8809 0.0000 0.0000
0.0000 4.0089 0.0000
0.0000 0.0000 5.2069
Re As Os
2 1 1
direct
0.0000 0.0000 0.9952
0.0000 0.0000 0.5048
0.5000 0.5000 0.2500
0.5000 0.5000 0.7500
```

Crystal system: orthorhombic
Symmetry: Pmmm (47)
Formation energy, meV per atom: 466
Uncorrected energy, eV/atom: -9.73
Theoretical density, g/cm³: 17.605

A plane-wave DFT calculation with PBE was carried out for an optimized crystal structure of Re2AsOs.

POSCAR file:
```
Re2AsOs
1.0
-0.6323 0.6587 3.9338
-1.5699 -2.3354 0.1387
3.3892 -4.1156 1.2340
Re As Os
2 1 1
direct
0.0000 0.1143 0.0039
0.0000 0.3857 0.4961
0.5000 0.2500 0.2500
0.5000 0.7500 0.7500
```

Crystal system: monoclinic
Symmetry: P2/m (10)
Formation energy, meV per atom: 334
Uncorrected energy, eV/atom: -9.86
Theoretical density, g/cm³: 17.763

A plane-wave DFT calculation with PBE was carried out for an optimized crystal structure of Re2AsOs.

POSCAR file:
```
Re2AsOs
1.0
-2.0136 0.5162 -1.8056
-0.6494 -0.0838 2.6745
1.7177 9.1628 0.7041
Re As Os
2 1 1
direct
0.0000 0.0000 0.9991
0.5000 0.5000 0.2376
0.0000 0.0000 0.5062
0.5000 0.5000 0.7572
```

Crystal system: orthorhombic
Symmetry: Cmm2 (35)
Formation energy, meV per atom: 623
Uncorrected energy, eV/atom: -9.57
Theoretical density, g/cm³: 16.924

A plane-wave DFT calculation with PBE was carried out for an optimized crystal structure of ReAs2Os.

POSCAR file:
```
ReAs2Os
1.0
4.7507 0.0020 0.0000
1.3175 4.5644 0.0000
-3.0341 -2.2832 2.8549
Re As Os
1 2 1
direct
0.7500 0.2500 0.5000
0.0000 0.0000 0.0000
0.2500 0.7500 0.5000
0.5000 0.5000 0.0000
```

Crystal system: tetragonal
Symmetry: I-4m2 (119)
Formation energy, meV per atom: 632
Uncorrected energy, eV/atom: -7.61
Theoretical density, g/cm³: 14.118

A plane-wave DFT calculation with PBE was carried out for an optimized crystal structure of ReAsOs2.

POSCAR file:
```
ReAsOs2
1.0
8.6669 0.0027 0.0016
8.2059 2.7889 0.0016
8.2059 1.3576 2.4361
Re As Os
1 1 2
direct
0.5011 0.5011 0.5011
0.2510 0.2510 0.2510
0.9980 0.9980 0.9980
0.7499 0.7499 0.7499
```

Crystal system: trigonal
Symmetry: R3m (160)
Formation energy, meV per atom: 294
Uncorrected energy, eV/atom: -9.59
Theoretical density, g/cm³: 18.121

A plane-wave DFT calculation with PBE was carried out for an optimized crystal structure of ReAsOs2.

POSCAR file:
```
ReAsOs2
1.0
2.8847 0.0000 0.0000
0.0000 2.8847 0.0000
0.0000 0.0000 7.0019
Re As Os
1 1 2
direct
0.5000 0.5000 0.2500
0.5000 0.5000 0.7500
0.0000 0.0000 0.9888
0.0000 0.0000 0.5112
```

Crystal system: tetragonal
Symmetry: P4/mmm (123)
Formation energy, meV per atom: 235
Uncorrected energy, eV/atom: -9.65
Theoretical density, g/cm³: 18.285

A plane-wave DFT calculation with PBE was carried out for an optimized crystal structure of ReAsOs2.

POSCAR file:
```
ReAsOs2
1.0
5.5824 0.0000 0.0000
0.0000 5.5824 0.0000
2.7912 2.7912 5.5036
Re As Os
2 2 4
direct
0.0000 0.0000 0.0000
0.7500 0.2500 0.5000
0.5000 0.5000 0.0000
0.2500 0.7500 0.5000
0.6240 0.1250 0.2500
0.1260 0.6250 0.2500
0.3750 0.3760 0.7500
0.8750 0.8740 0.7500
```

Crystal system: tetragonal
Symmetry: I-42d (122)
Formation energy, meV per atom: 855
Uncorrected energy, eV/atom: -9.03
Theoretical density, g/cm³: 12.424

A plane-wave DFT calculation with PBE was carried out for an optimized crystal structure of Re2AsOs.

POSCAR file:
```
Re2AsOs
1.0
-1.1794 1.7937 1.8876
-3.2338 0.2124 -2.2223
-2.1003 -4.1770 2.6569
Re As Os
2 1 1
direct
0.0000 0.0000 0.9659
0.5000 0.5000 0.2769
0.0000 0.0000 0.4814
0.5000 0.5000 0.7757
```

Crystal system: orthorhombic
Symmetry: Pmm2 (25)
Formation energy, meV per atom: 415
Uncorrected energy, eV/atom: -9.78
Theoretical density, g/cm³: 17.527